Record 1
Below is a relaxed Ba5N2Cl5 crystal, with properties calculated at the PBE level.

Summary:
* volume: 30.893 Å³/atom
* uncorrected formation energy: -20.26 eV per formula unit

Lattice parameters (Å, degrees): 14.657 4.328 12.094 90.00 104.87 90.00
Space group C2/m (No. 12)
Unique sites:
Ba1 0.000 0.000 0.000 x2
Ba2 0.101 0.000 0.368 x4
Ba3 0.149 0.500 0.804 x4
N1 0.039 0.000 0.803 x4
Cl1 0.000 0.500 0.500 x2
Cl2 0.164 0.500 0.069 x4
Cl3 0.242 0.000 0.634 x4



Record 2
Below is a relaxed Ba2N2Cl crystal, with properties calculated at the PBE level.

Summary:
* polymorph energy (0 for the lowest one): 0.0 meV/atom
* volume: 24.544 Å³/atom
* uncorrected formation energy: -5.93 eV per formula unit

Lattice parameters (Å, degrees): 15.643 4.402 7.273 90.00 101.39 90.00
Space group C2/c (No. 15)
Unique sites:
Ba1 0.145 0.207 0.149 x8
N1 0.226 0.357 0.525 x8
Cl1 0.000 0.280 0.750 x4



Record 3
Below is a relaxed BaNCl2 crystal, with properties calculated at the PBE level.

Summary:
* polymorph energy (0 for the lowest one): 0.0 meV/atom
* volume: 26.055 Å³/atom
* uncorrected formation energy: -2.48 eV per formula unit

Lattice parameters (Å, degrees): 7.470 7.470 7.470 90.00 90.00 90.00
Space group Fm-3m (No. 225)
Unique sites:
Ba1 0.000 0.000 0.000 x4
N1 0.000 0.000 0.500 x4
Cl1 0.250 0.250 0.250 x8